InAu2I: relaxed, PBE.

The space group is Fm-3m (No. 225) and the conventional cell measures 7.325, 7.325 and 7.325 Å, with angles of 90.00, 90.00 and 90.00 degrees. The asymmetric unit holds In at (0.000, 0.000, 0.000), Au at (0.250, 0.250, 0.250) and I at (0.000, 0.000, 0.500).

Its total DFT energy (no corrections) is -0.1785 Ry/atom. As for the formation energy without anion corrections: 27.2 kJ/mol of atoms. The offset from the most stable computed form is 218 meV/atom. The calculation puts the magnetization at 0.0 μB/cell.


SbTeIr2: relaxed, PBE.

The space group is Pm (No. 6) and the conventional cell measures 4.663, 4.210 and 4.966 Å, with angles of 90.00, 116.10 and 90.00 degrees. The asymmetric unit holds Sb at (0.000, 0.000, 0.000), Te at (0.390, 0.500, 0.588), Ir at (0.624, 0.000, 0.408) and Ir at (0.762, 0.500, 0.174).

Its total DFT energy (no corrections) is -0.4538 Ry/atom. As for the formation energy without anion corrections: 7.0 kJ/mol of atoms. The offset from the most stable computed form is 0 meV/atom. The calculation puts the magnetization at 0.0 μB/cell.


PmNd3Ru: relaxed, PBE.

The space group is Pm-3m (No. 221) and the conventional cell measures 5.549, 5.549 and 5.549 Å, with angles of 90.00, 90.00 and 90.00 degrees. The asymmetric unit holds Pm at (0.000, 0.000, 0.000), Nd at (0.000, 0.500, 0.500) and Ru at (0.500, 0.500, 0.500).

Its total DFT energy (no corrections) is -0.4138 Ry/atom. The offset from the most stable computed form is 184 meV/atom. The calculation puts the magnetization at 1.0 μB/cell. For the energy relative to the elements, the calculation gives 0.0357 eV per atom.


Q: What is the offset from the most stable computed form in the third record?
A: 184 meV/atom


Q: Which of these has the lowest total DFT energy (no corrections)?
A: SbTeIr2


Q: total DFT energy (no corrections) of number 2 (SbTeIr2)?
A: -0.4538 Ry/atom


Q: The highest offset from the most stable computed form belongs to which entry?
A: InAu2I